[1]
Entry from the Alexandria database: a relaxed structure of Er3Tm2Tl (PBE).

Cell lengths 6.059, 6.954, 9.079 Å; angles 90.01, 109.49, 90.00 degrees
Last column: magnetic moment on the atom in μB.
Fractional positions:
Tm 0.702 0.750 0.376  0.08
Tm 0.326 0.750 0.624  0.08
Tm 0.298 0.250 0.624  0.08
Tm 0.674 0.250 0.376  0.08
Er 0.139 0.500 0.277  0.08
Er 0.139 0.000 0.277  0.08
Er 0.323 0.750 0.000  0.01
Er 0.861 0.000 0.723  0.08
Er 0.861 0.500 0.723  0.08
Er 0.677 0.250 0.000  0.01
Tl 0.192 0.250 0.000  0.00
Tl 0.808 0.750 0.000  0.00

Calculated values
Formation enthalpy at 0 K   -5.3 kJ/mol of atoms
Space-group type   Cmcm
ΔE to the lowest computed polymorph   32 kJ/mol of formula units

[2]
Entry from the Alexandria database: a relaxed structure of LiAc2La5 (PBE).

Cell lengths 3.892, 9.308, 16.292 Å; angles 90.00, 90.00, 90.00 degrees
Fractional positions:
Ac 0.500 0.215 0.618
Ac 0.500 0.785 0.382
Ac 0.500 0.715 0.882
Ac 0.500 0.285 0.118
La 0.000 0.496 0.275
La 0.000 0.996 0.225
La 0.500 0.717 0.119
La 0.500 0.283 0.881
La 0.500 0.783 0.619
La 0.000 0.004 0.775
La 0.000 0.500 0.500
La 0.000 0.000 0.000
La 0.000 0.504 0.725
La 0.500 0.217 0.381
Li 0.000 0.000 0.500
Li 0.000 0.500 0.000

Calculated values
Formation enthalpy at 0 K   3.8 kJ/mol of atoms
Space-group type   Pbam

[3]
Entry from the Alexandria database: a relaxed structure of MgBF4 (PBE).

Cell lengths 4.933, 4.933, 5.650 Å; angles 115.88, 115.88, 90.00 degrees
Fractional positions:
F 0.614 0.527 0.817
F 0.203 0.290 0.817
F 0.710 0.386 0.183
F 0.473 0.797 0.183
B 0.500 0.500 0.000
Mg 0.750 0.250 0.500

Calculated values
Space-group type   I-4
E_form (uncorrected)   -2474 meV per atom

Number 1: final energy -4.221 eV/atom. Number 2: final energy -4.306 eV/atom. Number 3: final energy -5.100 eV/atom.